No. 1
This record from Alexandria describes NpCuPS after structural relaxation. The functional is GGA-PBE.

DFT total energy: -58.6 eV per cell
crystal system: tetragonal

Cell lengths 3.954, 3.954, 8.757 Å; angles 90.00, 90.00, 90.00 degrees
Space group P4/nmm (No. 129, origin choice 2)
One atom of each set of equivalent atoms:
1 Np 0.250 0.250 0.213 [2 per cell]
2 Cu 0.250 0.750 0.500 [2 per cell]
3 P 0.250 0.250 0.661 [2 per cell]
4 S 0.250 0.750 0.000 [2 per cell]

No. 2
This record from Alexandria describes BeRh3Cl after structural relaxation. The functional is GGA-PBE.

offset from the most stable computed form: 0.00 kcal/mol of atoms
DFT total energy: -24.2 eV per cell
crystal system: cubic

Cell lengths 4.232, 4.232, 4.232 Å; angles 90.00, 90.00, 90.00 degrees
Space group Pm-3m (No. 221)
One atom of each set of equivalent atoms:
1 Be 0.000 0.000 0.000 [1 per cell]
2 Rh 0.000 0.000 0.500 [3 per cell]
3 Cl 0.500 0.500 0.500 [1 per cell]

No. 3
This record from Alexandria describes Nd2Dy2Ho5 after structural relaxation. The functional is GGA-PBE.

offset from the most stable computed form: 0.00 kcal/mol of atoms
DFT total energy: -158.8 eV per cell
ΔE_f: 186 kJ/mol of formula units
crystal system: orthorhombic

Cell lengths 14.919, 11.768, 6.725 Å; angles 90.00, 90.00, 90.00 degrees
Space group Ima2 (No. 46)
One atom of each set of equivalent atoms:
1 Nd 0.127 0.003 0.000 [8 per cell]
2 Dy 0.000 0.000 0.545 [4 per cell]
3 Dy 0.250 0.512 0.951 [4 per cell]
4 Ho 0.053 0.245 0.351 [8 per cell]
5 Ho 0.143 0.736 0.172 [8 per cell]
6 Ho 0.250 0.247 0.149 [4 per cell]

No. 4
This record from Alexandria describes CaLa3Tc after structural relaxation. The functional is GGA-PBE.

offset from the most stable computed form: 0.32 kcal/mol of atoms
DFT total energy: -217.3 eV per cell
ΔE_f: -1 kJ/mol of formula units
crystal system: monoclinic

Cell lengths 14.387, 15.328, 6.528 Å; angles 90.00, 105.09, 90.00 degrees
Space group C2/c (No. 15)
One atom of each set of equivalent atoms:
1 Ca 0.127 0.059 0.076 [8 per cell]
2 La 0.094 0.199 0.553 [8 per cell]
3 La 0.110 0.445 0.565 [8 per cell]
4 La 0.164 0.317 0.102 [8 per cell]
5 Tc 0.000 0.328 0.250 [4 per cell]
6 Tc 0.000 0.329 0.750 [4 per cell]

No. 5
This record from Alexandria describes Pm4Y5Tl after structural relaxation. The functional is GGA-PBE.

offset from the most stable computed form: 3.83 kcal/mol of atoms
DFT total energy: -105.4 eV per cell
ΔE_f: 97 kJ/mol of formula units
crystal system: tetragonal

Cell lengths 10.776, 10.776, 5.867 Å; angles 90.00, 90.00, 90.00 degrees
Space group I4mm (No. 107)
One atom of each set of equivalent atoms:
1 Pm 0.000 0.316 0.000 [8 per cell]
2 Y 0.000 0.000 0.807 [2 per cell]
3 Y 0.185 0.185 0.503 [8 per cell]
4 Tl 0.000 0.000 0.287 [2 per cell]

No. 6
This record from Alexandria describes Dy8Cu2Ir after structural relaxation. The functional is GGA-PBE.

offset from the most stable computed form: 2.78 kcal/mol of atoms
DFT total energy: -111.0 eV per cell
ΔE_f: -156 kJ/mol of formula units
crystal system: monoclinic

Cell lengths 8.236, 13.113, 5.937 Å; angles 90.00, 111.67, 90.00 degrees
Space group Cm (No. 8)
One atom of each set of equivalent atoms:
1 Dy 0.000 0.000 0.000 [2 per cell]
2 Dy 0.079 0.374 0.818 [4 per cell]
3 Dy 0.146 0.126 0.590 [4 per cell]
4 Dy 0.222 0.500 0.378 [2 per cell]
5 Dy 0.362 0.201 0.193 [4 per cell]
6 Cu 0.356 0.304 0.685 [4 per cell]
7 Ir 0.360 0.000 0.015 [2 per cell]

The lowest DFT total energy belongs to which entry? CaLa3Tc

What is the DFT total energy in the second record? -24.2 eV per cell

Look up the DFT total energy of the sixth one. -111.0 eV per cell

The lowest DFT total energy belongs to which entry? CaLa3Tc